Material: Rb2NaP2Se6
Method: DFT, PBE
State: relaxed

CIF file:
```
data_Rb2NaP2Se6
_chemical_formula_sum 'Rb2 Na1 P2 Se6'
_symmetry_space_group_name_H-M 'P 1'
_symmetry_Int_Tables_number 1
_symmetry_space_group_name_Hall 'P 1'
_cell_length_a 6.998
_cell_length_b 7.477
_cell_length_c 8.654
_cell_angle_alpha 115.49
_cell_angle_beta 90.00
_cell_angle_gamma 117.90
loop_
_atom_site_label
_atom_site_fract_x
_atom_site_fract_y
_atom_site_fract_z
Rb1 0.719 0.438 0.236
Rb2 0.281 0.562 0.764
Na1 0.500 0.000 0.500
P1 0.973 0.946 0.850
P2 0.027 0.054 0.150
Se1 0.785 0.569 0.695
Se2 0.199 0.883 0.180
Se3 0.316 0.117 0.820
Se4 0.801 0.117 0.820
Se5 0.684 0.883 0.180
Se6 0.215 0.431 0.305
```

Symmetry: No. 12
Total energy (eV per atom): -3.770
Magnetization (μB/atom): 0.000
Uncorrected formation energy (eV/atom): -0.59

Material: RbNaPSe3
Method: DFT, PBE
State: relaxed

CIF file:
```
data_RbNaPSe3
_chemical_formula_sum 'Rb2 Na2 P2 Se6'
_symmetry_space_group_name_H-M 'P 1'
_symmetry_Int_Tables_number 1
_symmetry_space_group_name_Hall 'P 1'
_cell_length_a 7.537
_cell_length_b 7.537
_cell_length_c 8.223
_cell_angle_alpha 94.49
_cell_angle_beta 94.49
_cell_angle_gamma 62.35
loop_
_atom_site_label
_atom_site_fract_x
_atom_site_fract_y
_atom_site_fract_z
Rb1 0.664 0.664 0.882
Rb2 0.336 0.336 0.118
Na1 0.205 0.795 0.500
Na2 0.795 0.205 0.500
P1 0.983 0.983 0.859
P2 0.017 0.017 0.141
Se1 0.133 0.133 0.749
Se2 0.130 0.657 0.794
Se3 0.657 0.130 0.794
Se4 0.343 0.870 0.206
Se5 0.870 0.343 0.206
Se6 0.867 0.867 0.251
```

Symmetry: No. 12
Total energy (eV per atom): -3.747
Magnetization (μB/atom): 0.000
Uncorrected formation energy (eV/atom): -0.72

Material: RbNaPSe4
Method: DFT, PBE
State: relaxed

CIF file:
```
data_RbNaPSe4
_chemical_formula_sum 'Rb2 Na2 P2 Se8'
_symmetry_space_group_name_H-M 'P 1'
_symmetry_Int_Tables_number 1
_symmetry_space_group_name_Hall 'P 1'
_cell_length_a 7.631
_cell_length_b 6.097
_cell_length_c 9.808
_cell_angle_alpha 90.00
_cell_angle_beta 102.29
_cell_angle_gamma 90.00
loop_
_atom_site_label
_atom_site_fract_x
_atom_site_fract_y
_atom_site_fract_z
Rb1 0.757 0.750 0.965
Rb2 0.243 0.250 0.035
Na1 0.731 0.750 0.441
Na2 0.269 0.250 0.559
P1 0.235 0.750 0.329
P2 0.765 0.250 0.671
Se1 0.985 0.507 0.721
Se2 0.015 0.007 0.279
Se3 0.015 0.493 0.279
Se4 0.985 0.993 0.721
Se5 0.418 0.750 0.183
Se6 0.582 0.250 0.817
Se7 0.368 0.750 0.548
Se8 0.632 0.250 0.452
```

Symmetry: No. 11
Total energy (eV per atom): -3.674
Magnetization (μB/atom): 0.001
Uncorrected formation energy (eV/atom): -0.58

Material: Rb2NaPSe
Method: DFT, PBE
State: relaxed

CIF file:
```
data_Rb2NaPSe
_chemical_formula_sum 'Rb2 Na1 P1 Se1'
_symmetry_space_group_name_H-M 'P 1'
_symmetry_Int_Tables_number 1
_symmetry_space_group_name_Hall 'P 1'
_cell_length_a 6.805
_cell_length_b 4.789
_cell_length_c 6.805
_cell_angle_alpha 90.00
_cell_angle_beta 90.00
_cell_angle_gamma 90.00
loop_
_atom_site_label
_atom_site_fract_x
_atom_site_fract_y
_atom_site_fract_z
P1 0.000 0.000 0.000
Se1 0.000 0.500 0.000
Rb1 0.000 0.000 0.500
Rb2 0.500 0.000 0.000
Na1 0.500 0.500 0.500
```

Symmetry: No. 123
Total energy (eV per atom): -2.519
Magnetization (μB/atom): 0.000
Uncorrected formation energy (eV/atom): -0.09

Material: RbNa2PSe4
Method: DFT, PBE
State: relaxed

CIF file:
```
data_RbNa2PSe4
_chemical_formula_sum 'Rb2 Na4 P2 Se8'
_symmetry_space_group_name_H-M 'P 1'
_symmetry_Int_Tables_number 1
_symmetry_space_group_name_Hall 'P 1'
_cell_length_a 8.586
_cell_length_b 8.586
_cell_length_c 10.260
_cell_angle_alpha 125.41
_cell_angle_beta 125.41
_cell_angle_gamma 74.05
loop_
_atom_site_label
_atom_site_fract_x
_atom_site_fract_y
_atom_site_fract_z
Rb1 0.000 0.500 0.000
Rb2 0.000 0.500 0.500
Na1 0.500 0.000 0.000
Na2 0.500 0.000 0.500
Na3 0.000 0.000 0.500
Na4 0.500 0.500 0.000
P1 0.500 0.500 0.500
P2 0.000 0.000 0.000
Se1 0.260 0.816 0.076
Se2 0.684 0.240 0.424
Se3 0.316 0.760 0.576
Se4 0.740 0.184 0.924
Se5 0.924 0.997 0.187
Se6 0.503 0.576 0.313
Se7 0.497 0.424 0.687
Se8 0.076 0.003 0.813
```

Symmetry: No. 15
Total energy (eV per atom): -3.275
Magnetization (μB/atom): 0.000
Uncorrected formation energy (eV/atom): -0.41

Material: Rb2NaSiP
Method: DFT, PBE
State: relaxed

CIF file:
```
data_Rb2NaSiP
_chemical_formula_sum 'Rb2 Na1 Si1 P1'
_symmetry_space_group_name_H-M 'P 1'
_symmetry_Int_Tables_number 1
_symmetry_space_group_name_Hall 'P 1'
_cell_length_a 6.779
_cell_length_b 4.536
_cell_length_c 6.779
_cell_angle_alpha 90.00
_cell_angle_beta 90.00
_cell_angle_gamma 90.00
loop_
_atom_site_label
_atom_site_fract_x
_atom_site_fract_y
_atom_site_fract_z
P1 0.000 0.000 0.000
Si1 0.000 0.500 0.000
Rb1 0.000 0.000 0.500
Rb2 0.500 0.000 0.000
Na1 0.500 0.500 0.500
```

Symmetry: No. 123
Total energy (eV per atom): -2.705
Magnetization (μB/atom): 0.000
Uncorrected formation energy (eV/atom): 0.11

Material: RbNaSnP2
Method: DFT, PBE
State: relaxed

CIF file:
```
data_RbNaSnP2
_chemical_formula_sum 'Rb1 Na1 Sn1 P2'
_symmetry_space_group_name_H-M 'P 1'
_symmetry_Int_Tables_number 1
_symmetry_space_group_name_Hall 'P 1'
_cell_length_a 5.630
_cell_length_b 5.100
_cell_length_c 5.630
_cell_angle_alpha 90.00
_cell_angle_beta 90.00
_cell_angle_gamma 90.00
loop_
_atom_site_label
_atom_site_fract_x
_atom_site_fract_y
_atom_site_fract_z
P1 0.000 0.000 0.500
P2 0.500 0.000 0.000
Sn1 0.500 0.500 0.500
Rb1 0.000 0.000 0.000
Na1 0.000 0.500 0.000
```

Symmetry: No. 123
Energy above the most stable polymorph in this dataset (eV per atom): 1.414
Total energy (eV per atom): -2.262
Magnetization (μB/atom): 0.000

Material: RbNaSnP2
Method: DFT, PBE
State: relaxed

CIF file:
```
data_RbNaSnP2
_chemical_formula_sum 'Rb2 Na2 Sn2 P4'
_symmetry_space_group_name_H-M 'P 1'
_symmetry_Int_Tables_number 1
_symmetry_space_group_name_Hall 'P 1'
_cell_length_a 4.275
_cell_length_b 7.819
_cell_length_c 9.873
_cell_angle_alpha 97.93
_cell_angle_beta 90.00
_cell_angle_gamma 105.87
loop_
_atom_site_label
_atom_site_fract_x
_atom_site_fract_y
_atom_site_fract_z
Rb1 0.370 0.739 0.340
Rb2 0.630 0.261 0.660
Na1 0.697 0.395 0.081
Na2 0.303 0.605 0.919
Sn1 0.052 0.103 0.167
Sn2 0.948 0.897 0.833
P1 0.395 0.789 0.689
P2 0.605 0.211 0.311
P3 0.114 0.228 0.933
P4 0.886 0.772 0.067
```

Symmetry: No. 12
Energy above the most stable polymorph in this dataset (eV per atom): 0.000
Total energy (eV per atom): -3.676
Magnetization (μB/atom): 0.000